First-principles (PBE) data for crystalline YTm4Cu2 at its relaxed geometry, as listed in Alexandria.

Properties
The value obtained for the uncorrected energy is -65.83 eV per cell. The crystal system is monoclinic. The calculation puts the density of states at the Fermi level at 9.049 states/eV/f.u. As for the formation energy from the elements: -53 meV/atom. The calculated density is 8.4 g cm⁻³.

Geometry as CIF:
```
data_YTm4Cu2
_chemical_formula_sum 'Y2 Tm8 Cu4'
_cell_length_a 7.306
_cell_length_b 6.370
_cell_length_c 8.104
_cell_angle_alpha 90.00
_cell_angle_beta 110.47
_cell_angle_gamma 90.00
_space_group_name_H-M_alt 'P 1 21/m 1'
_space_group_IT_number 11
_space_group_name_Hall '-P 2yb'
loop_
_atom_site_label
_atom_site_type_symbol
_atom_site_fract_x
_atom_site_fract_y
_atom_site_fract_z
Y1 Y 0.146 0.250 0.025
Tm1 Tm 0.033 0.250 0.394
Tm2 Tm 0.228 0.750 0.344
Tm3 Tm 0.401 0.005 0.765
Cu1 Cu 0.263 0.750 0.995
Cu2 Cu 0.402 0.250 0.422
```